#1
This record from the Alexandria database describes a geometry-optimized Mn3Br5 structure. The functional is PBE.

Lattice parameters (Å, degrees): 7.5503 7.5503 8.7060 90.00 90.00 120.00
Last column: nearest neighbours and their distance in Å.
Fractional coordinates of all 16 atoms:
1 Mn 0.0000 0.4026 0.2500  3 Br 2.52-2.67
2 Mn 0.0000 0.5974 0.7500  3 Br 2.52-2.67
3 Mn 0.4026 0.0000 0.2500  3 Br 2.52-2.67
4 Mn 0.4026 0.4026 0.7500  3 Br 2.52-2.67
5 Mn 0.5974 0.0000 0.7500  3 Br 2.52-2.67
6 Mn 0.5974 0.5974 0.2500  3 Br 2.52-2.67
7 Br 0.0000 0.2640 0.7500  3 Mn 2.52-2.67
8 Br 0.0000 0.7360 0.2500  3 Mn 2.52-2.67
9 Br 0.2640 0.0000 0.7500  3 Mn 2.52-2.67
10 Br 0.2640 0.2640 0.2500  3 Mn 2.52-2.67
11 Br 0.3333 0.6667 0.0000  6 Mn 3.17
12 Br 0.3333 0.6667 0.5000  6 Mn 3.17
13 Br 0.6667 0.3333 0.0000  6 Mn 3.17
14 Br 0.6667 0.3333 0.5000  6 Mn 3.17
15 Br 0.7360 0.0000 0.2500  3 Mn 2.52-2.67
16 Br 0.7360 0.7360 0.7500  3 Mn 2.52-2.67

Size of the total moment in μB/cell: 28.05
Crystal system: hexagonal
DOS at the Fermi energy in states/eV/f.u.: 3.72

---

#2
This record from the Alexandria database describes a geometry-optimized Mn3Br5 structure. The functional is PBE.

Lattice parameters (Å, degrees): 8.7995 12.8180 3.7710 90.00 90.00 90.00
Last column: nearest neighbours and their distance in Å.
Fractional coordinates of all 16 atoms:
1 Mn 0.0000 0.0000 0.0000  4 Br 2.53
2 Mn 0.0000 0.3377 0.5000  6 Br 2.81-3.11
3 Mn 0.0000 0.6623 0.5000  6 Br 2.81-3.11
4 Mn 0.5000 0.1623 0.5000  6 Br 2.81-3.11
5 Mn 0.5000 0.5000 0.0000  4 Br 2.53
6 Mn 0.5000 0.8377 0.5000  6 Br 2.81-3.11
7 Br 0.0000 0.5000 0.0000  4 Mn 2.81
8 Br 0.1909 0.0000 0.5000  2 Mn 2.53
9 Br 0.2500 0.2500 0.0000  4 Mn 3.11
10 Br 0.2500 0.7500 0.0000  4 Mn 3.11
11 Br 0.3091 0.5000 0.5000  2 Mn 2.53
12 Br 0.5000 0.0000 0.0000  4 Mn 2.81
13 Br 0.6909 0.5000 0.5000  2 Mn 2.53
14 Br 0.7500 0.2500 0.0000  4 Mn 3.11
15 Br 0.7500 0.7500 0.0000  4 Mn 3.11
16 Br 0.8091 0.0000 0.5000  2 Mn 2.53

Size of the total moment in μB/cell: 29.46
Crystal system: orthorhombic
DOS at the Fermi energy in states/eV/f.u.: 2.97

---

Of them, #1 has the highest stability.